Entry 1:
First-principles (PBE-GGA) data for a relaxed structure of Sm3ThAg2, as listed in Alexandria.

Structure (CIF):
```
data_Sm3ThAg2
_cell_length_a 3.683
_cell_length_b 3.683
_cell_length_c 12.317
_cell_angle_alpha 90.00
_cell_angle_beta 90.00
_cell_angle_gamma 90.00
_space_group_name_H-M_alt 'P 4/m m m'
_space_group_IT_number 123
_space_group_name_Hall '-P 4 2'
loop_
_atom_site_label
_atom_site_fract_x
_atom_site_fract_y
_atom_site_fract_z
Sm1 0.000 0.000 0.000
Sm2 0.000 0.000 0.306
Th1 0.500 0.500 0.500
Ag1 0.500 0.500 0.151
```

Results
DOS at the Fermi energy = 5.62 states/eV/f.u.
total energy = -4.72 eV per atom
calculated formation energy = -102 kJ/mol of formula units
mass density = 8.932 g cm⁻³


Entry 2:
First-principles (PBE-GGA) data for a relaxed structure of Sr3NiW, as listed in Alexandria.

Structure (CIF):
```
data_Sr3NiW
_cell_length_a 5.637
_cell_length_b 5.637
_cell_length_c 5.637
_cell_angle_alpha 90.00
_cell_angle_beta 90.00
_cell_angle_gamma 90.00
_space_group_name_H-M_alt 'P m -3 m'
_space_group_IT_number 221
_space_group_name_Hall '-P 4 2 3'
loop_
_atom_site_label
_atom_site_fract_x
_atom_site_fract_y
_atom_site_fract_z
Sr1 0.000 0.000 0.500
Ni1 0.000 0.000 0.000
W1 0.500 0.500 0.500
```

Results
DOS at the Fermi energy = 3.33 states/eV/f.u.
total energy = -3.72 eV per atom
calculated formation energy = 501 kJ/mol of formula units
mass density = 4.686 g cm⁻³